Ag3SnTe3 after structural relaxation, computed with GGA-PBE.

Calculated values
magnetization = 0.00 μB/f.u.
volume = 396 Å³/cell
VASP energy = -3.242 eV per atom
energy relative to the lowest polymorph listed for this composition = 0.0 meV per atom
mass density = 6.9 Mg/m³

Cell lengths 8.839, 8.839, 8.839 Å; angles 52.00, 52.00, 52.00 degrees
Fractional positions:
Ag 0.012 0.371 0.717
Ag 0.283 0.988 0.629
Ag 0.371 0.717 0.012
Ag 0.629 0.283 0.988
Ag 0.717 0.012 0.371
Ag 0.988 0.629 0.283
Sn 0.167 0.167 0.167
Sn 0.833 0.833 0.833
Te 0.099 0.749 0.427
Te 0.251 0.573 0.901
Te 0.427 0.099 0.749
Te 0.573 0.901 0.251
Te 0.749 0.427 0.099
Te 0.901 0.251 0.573